A crystal of Zr2TaMo relaxed with PBEsol. Source: Alexandria via LeMat-Bulk, functional SCAN.

Values from the calculation:
ΔH_f (0 K) (eV/f.u.): 0.4
Crystal system: cubic
E above lowest polymorph (meV/atom): 116

```
data_Zr2TaMo
_space_group_name_H-M_alt 'F -4 3 m'
_space_group_IT_number 216
_space_group_name_Hall 'F -4 2 3'
_cell_length_a 6.670
_cell_length_b 6.670
_cell_length_c 6.670
_cell_angle_alpha 90.00
_cell_angle_beta 90.00
_cell_angle_gamma 90.00
loop_
_atom_site_label
_atom_site_type_symbol
_atom_site_fract_x
_atom_site_fract_y
_atom_site_fract_z
Zr1 Zr 0.000 0.000 0.000
Zr2 Zr 0.250 0.250 0.250
Ta1 Ta 0.000 0.000 0.500
Mo1 Mo 0.250 0.250 0.750
```